[1]
# SrNi2Sb

Crystalline SrNi2Sb at its relaxed geometry (PBE-GGA, Alexandria via LeMat-Bulk).

The structure in POSCAR format:
```
SrNi2Sb
1.0
-3.990 0.689 2.681
-1.595 -4.417 -1.238
1.149 -5.169 7.436
Sb Ni Sr
2 4 2
direct
0.000 0.000 0.000
0.750 0.250 0.500
0.847 0.125 0.250
0.903 0.625 0.250
0.375 0.153 0.750
0.875 0.097 0.750
0.500 0.500 0.000
0.250 0.750 0.500
```

**Crystal system**: tetragonal
**SG**: I-42d (122)
**Raw formation energy**: -0.21 eV/atom


[2]
# CaPrAg3

Crystalline CaPrAg3 at its relaxed geometry (PBE-GGA, Alexandria via LeMat-Bulk).

The structure in POSCAR format:
```
CaPrAg3
1.0
-2.030 3.026 0.926
-2.387 -0.324 -4.173
-8.560 -9.808 5.658
Ca Pr Ag
2 2 6
direct
0.208 0.750 0.415
0.792 0.250 0.585
0.926 0.750 0.852
0.074 0.250 0.148
0.621 0.750 0.242
0.379 0.250 0.758
0.523 0.750 0.047
0.477 0.250 0.953
0.675 0.250 0.351
0.325 0.750 0.649
```

**Crystal system**: orthorhombic
**SG**: Cmcm (63)
**DFT formation energy**: -0.2672 eV/atom


[3]
# BaTe2P

Crystalline BaTe2P at its relaxed geometry (PBE-GGA, Alexandria via LeMat-Bulk).

The structure in POSCAR format:
```
BaTe2P
1.0
-1.535 0.688 -4.232
-2.692 -3.653 0.383
-5.161 4.070 2.533
Ba Te P
1 2 1
direct
0.000 0.000 0.414
0.000 0.000 0.900
0.500 0.500 0.271
0.500 0.500 0.915
```

**Crystal system**: tetragonal
**SG**: P4mm (99)
**Raw formation energy**: -0.47 eV/atom


[4]
# Ga3MoPt12

Crystalline Ga3MoPt12 at its relaxed geometry (PBE-GGA, Alexandria via LeMat-Bulk).

The structure in POSCAR format:
```
Ga3MoPt12
1.0
-3.307 -0.055 2.166
0.380 -3.905 0.481
8.530 2.442 13.085
Ga Mo Pt
3 1 12
direct
0.000 0.000 0.258
0.000 0.000 0.500
0.000 0.000 0.742
0.000 0.000 0.000
0.500 0.500 0.000
0.500 0.500 0.248
0.500 0.500 0.500
0.500 0.500 0.752
0.500 0.000 0.122
0.500 0.000 0.375
0.500 0.000 0.625
0.500 0.000 0.878
0.000 0.500 0.122
0.000 0.500 0.375
0.000 0.500 0.625
0.000 0.500 0.878
```

**Crystal system**: tetragonal
**SG**: P4/mmm (123)
**DFT formation energy**: -0.4138 eV/atom


| no. | density (g/cm³) |
| --- | --- |
| 1 | 5.4 |
| 2 | 6.6 |
| 3 | 4.8 |
| 4 | 17.8 |